## Li5HfS4 (PBE)

Data for a relaxed structure of Li5HfS4.

a = 3.7445 Å, b = 6.9446 Å, c = 13.2661 Å
α = 90.00°, β = 90.00°, γ = 90.00°
Last column: nearest neighbours and their distance in Å.
Space group Immm (No. 71)
Asymmetric unit:
1 Li 0.0000 0.0000 0.0000 x2  4 S 2.51
2 Li 0.0000 0.2163 0.3236 x8  4 S 2.36-2.54
3 Hf 0.0000 0.5000 0.0000 x2  6 S 2.60-2.69
4 S 0.0000 0.2591 0.5000 x4  4 Li 2.36-2.51, 2 Hf 2.60
5 S 0.0000 0.5000 0.2027 x4  6 Li 2.43-2.54, 1 Hf 2.69

N(E_F), states/eV per cell: 5.63
Final energy, eV/atom: -4.91

=====

## Li2CaPrTl4 (PBE)

Data for a relaxed structure of Li2CaPrTl4.

a = 5.2723 Å, b = 5.2723 Å, c = 25.9861 Å
α = 90.00°, β = 90.00°, γ = 120.00°
Last column: nearest neighbours and their distance in Å.
Space group R-3m (No. 166, hexagonal axes)
Asymmetric unit:
1 Li 0.0000 0.0000 0.2493 x6  8 Tl 3.19-3.32
2 Ca 0.0000 0.0000 0.5000 x3  8 Tl 3.20-3.22
3 Pr 0.0000 0.0000 0.0000 x3  8 Tl 3.25-3.29
4 Tl 0.0000 0.0000 0.1266 x6  4 Li 3.19-3.24, 3 Ca 3.22, 1 Pr 3.29
5 Tl 0.0000 0.0000 0.3770 x6  1 Ca 3.20, 4 Li 3.22-3.32, 3 Pr 3.25

E_form, meV per atom: -327
N(E_F), states/eV per cell: 12.36
Final energy, eV/atom: -2.84

=====

## PrPa4Os3N12 (PBE)

Data for a relaxed structure of PrPa4Os3N12.

a = 8.2399 Å, b = 8.2399 Å, c = 8.2399 Å
α = 90.00°, β = 90.00°, γ = 90.00°
Last column: nearest neighbours and their distance in Å.
Space group Im-3 (No. 204)
Asymmetric unit:
1 Pr 0.0000 0.0000 0.0000 x2  12 N 2.91
2 Pa 0.2500 0.2500 0.2500 x8  6 N 2.27
3 Os 0.0000 0.0000 0.5000 x6  4 N 1.99
4 N 0.0000 0.3161 0.1563 x24  1 Os 1.99

N(E_F), states/eV per cell: 24.57
Final energy, eV/atom: -9.35

=====

## KCd2As2 (PBE)

Data for a relaxed structure of KCd2As2.

a = 4.6651 Å, b = 4.6651 Å, c = 12.0934 Å
α = 90.00°, β = 90.00°, γ = 90.00°
Last column: nearest neighbours and their distance in Å.
Space group I4/mmm (No. 139)
Asymmetric unit:
1 K 0.0000 0.0000 0.0000 x2  8 Cd 3.58, 8 As 3.82
2 Cd 0.0000 0.0000 0.3847 x4  1 Cd 2.79, 4 As 2.84
3 As 0.0000 0.5000 0.2500 x4  4 Cd 2.84

E_form, meV per atom: -133
N(E_F), states/eV per cell: 4.19
Final energy, eV/atom: -2.58

=====

## BSb3Pt (PBE)

Data for a relaxed structure of BSb3Pt.

a = 4.6933 Å, b = 4.6933 Å, c = 4.6933 Å
α = 90.00°, β = 90.00°, γ = 90.00°
Last column: nearest neighbours and their distance in Å.
Space group Pm-3m (No. 221)
Asymmetric unit:
1 B 0.0000 0.0000 0.0000 x1  6 Sb 2.35
2 Sb 0.0000 0.0000 0.5000 x3  2 B 2.35
3 Pt 0.5000 0.5000 0.5000 x1  12 Sb 3.32

N(E_F), states/eV per cell: 3.06
Final energy, eV/atom: -4.30

=====

## Be2FePd6 (PBE)

Data for a relaxed structure of Be2FePd6.

a = 4.0401 Å, b = 9.9848 Å, c = 11.9956 Å
α = 90.00°, β = 90.00°, γ = 90.00°
Last column: nearest neighbours and their distance in Å.
Space group Fmmm (No. 69)
Asymmetric unit:
1 Be 0.0000 0.0000 0.1620 x8  8 Pd 2.46-2.48
2 Fe 0.0000 0.0000 0.5000 x4  8 Pd 2.51-2.52, 4 Be 2.80
3 Pd 0.0000 0.1442 0.3281 x16  3 Be 2.46-2.48, 1 Fe 2.51
4 Pd 0.0000 0.1516 0.0000 x8  2 Be 2.46, 2 Fe 2.52

E_form, meV per atom: -323
N(E_F), states/eV per cell: 13.94
Final energy, eV/atom: -5.55

=====

## Cu2RuCl (PBE)

Data for a relaxed structure of Cu2RuCl.

a = 4.9998 Å, b = 8.3070 Å, c = 2.7236 Å
α = 90.00°, β = 90.00°, γ = 90.00°
Last column: nearest neighbours and their distance in Å.
Space group Cmmm (No. 65)
Asymmetric unit:
1 Cu 0.2500 0.2500 0.0000 x4  4 Cu 2.50-2.72, 4 Cl 2.78, 4 Ru 2.78
2 Ru 0.0000 0.0000 0.5000 x2  2 Cl 2.50, 2 Ru 2.72, 8 Cu 2.78
3 Cl 0.0000 0.5000 0.5000 x2  2 Ru 2.50, 2 Cl 2.72, 8 Cu 2.78

N(E_F), states/eV per cell: 7.81
Final energy, eV/atom: -4.28

=====

## Sc2FePt (PBE)

Data for a relaxed structure of Sc2FePt.

a = 3.8517 Å, b = 3.8517 Å, c = 9.2624 Å
α = 90.00°, β = 90.00°, γ = 90.00°
Last column: nearest neighbours and their distance in Å.
Space group I-4m2 (No. 119)
Asymmetric unit:
1 Sc 0.0000 0.0000 0.0000 x2  4 Pt 2.72, 4 Fe 3.01, 4 Sc 3.01
2 Sc 0.0000 0.5000 0.2500 x2  4 Fe 2.72, 4 Sc 3.01, 4 Pt 3.01
3 Fe 0.0000 0.5000 0.7500 x2  8 Sc 2.72-3.01, 4 Pt 3.01
4 Pt 0.0000 0.0000 0.5000 x2  8 Sc 2.72-3.01, 4 Fe 3.01

E_form, meV per atom: -513
N(E_F), states/eV per cell: 7.81
Final energy, eV/atom: -7.30

=====

## Ti2Nb2Fe (PBE)

Data for a relaxed structure of Ti2Nb2Fe.

a = 6.3223 Å, b = 6.3223 Å, c = 4.3722 Å
α = 90.00°, β = 90.00°, γ = 90.00°
Last column: nearest neighbours and their distance in Å.
Space group P4/mbm (No. 127)
Asymmetric unit:
1 Ti 0.1584 0.3416 0.0000 x4  6 Nb 2.75-2.95, 1 Ti 2.83
2 Nb 0.1558 0.6558 0.5000 x4  2 Fe 2.39
3 Fe 0.0000 0.0000 0.5000 x2  4 Nb 2.39

E_form, meV per atom: 274
N(E_F), states/eV per cell: 8.96
Final energy, eV/atom: -8.60

=====

## Ce4Hg3 (PBE)

Data for a relaxed structure of Ce4Hg3.

a = 14.2145 Å, b = 14.2145 Å, c = 6.5506 Å
α = 90.00°, β = 90.00°, γ = 120.00°
Last column: nearest neighbours and their distance in Å.
Space group R-3 (No. 148, hexagonal axes)
Asymmetric unit:
1 Ce 0.0000 0.0000 0.0000 x3  2 Ce 3.28, 6 Hg 3.35
2 Ce 0.0000 0.0000 0.5000 x3  8 Ce 3.28-3.66, 6 Hg 3.47
3 Ce 0.0691 0.4734 0.3864 x18  1 Ce 2.85, 1 Hg 3.18
4 Hg 0.0601 0.2335 0.2313 x18  9 Ce 3.18-3.50, 1 Hg 3.23

E_form, meV per atom: -234
N(E_F), states/eV per cell: 128.93
Final energy, eV/atom: -3.75

=====

## Hg2Te2Cl (PBE)

Data for a relaxed structure of Hg2Te2Cl.

a = 8.3063 Å, b = 8.3063 Å, c = 3.9894 Å
α = 90.00°, β = 90.00°, γ = 90.00°
Last column: nearest neighbours and their distance in Å.
Space group P4/mbm (No. 127)
Asymmetric unit:
1 Hg 0.1470 0.3530 0.0000 x4  6 Te 3.01-3.25
2 Te 0.1613 0.6613 0.5000 x4  6 Hg 3.01-3.25, 2 Cl 3.12
3 Cl 0.0000 0.0000 0.5000 x2  4 Te 3.12

N(E_F), states/eV per cell: 9.35
Final energy, eV/atom: -1.69

=====

## Ti2NbN (PBE)

Data for a relaxed structure of Ti2NbN.

a = 5.6495 Å, b = 7.2075 Å, c = 5.3104 Å
α = 90.00°, β = 90.00°, γ = 90.00°
Last column: nearest neighbours and their distance in Å.
Space group Pnma (No. 62)
Asymmetric unit:
1 Ti 0.1836 0.0676 0.1630 x8  2 N 2.27-2.29
2 Nb 0.0369 0.2500 0.6750 x4  2 N 2.21-2.23
3 N 0.1311 0.7500 0.9494 x4  2 Nb 2.21-2.23, 4 Ti 2.27-2.29

N(E_F), states/eV per cell: 11.00
Final energy, eV/atom: -9.10

=====

Copy entry 11 word for word.
## Hg2Te2Cl (PBE)

Data for a relaxed structure of Hg2Te2Cl.

a = 8.3063 Å, b = 8.3063 Å, c = 3.9894 Å
α = 90.00°, β = 90.00°, γ = 90.00°
Last column: nearest neighbours and their distance in Å.
Space group P4/mbm (No. 127)
Asymmetric unit:
1 Hg 0.1470 0.3530 0.0000 x4  6 Te 3.01-3.25
2 Te 0.1613 0.6613 0.5000 x4  6 Hg 3.01-3.25, 2 Cl 3.12
3 Cl 0.0000 0.0000 0.5000 x2  4 Te 3.12

N(E_F), states/eV per cell: 9.35
Final energy, eV/atom: -1.69

=====

Please write out number 1 again, unchanged.
## Li5HfS4 (PBE)

Data for a relaxed structure of Li5HfS4.

a = 3.7445 Å, b = 6.9446 Å, c = 13.2661 Å
α = 90.00°, β = 90.00°, γ = 90.00°
Last column: nearest neighbours and their distance in Å.
Space group Immm (No. 71)
Asymmetric unit:
1 Li 0.0000 0.0000 0.0000 x2  4 S 2.51
2 Li 0.0000 0.2163 0.3236 x8  4 S 2.36-2.54
3 Hf 0.0000 0.5000 0.0000 x2  6 S 2.60-2.69
4 S 0.0000 0.2591 0.5000 x4  4 Li 2.36-2.51, 2 Hf 2.60
5 S 0.0000 0.5000 0.2027 x4  6 Li 2.43-2.54, 1 Hf 2.69

N(E_F), states/eV per cell: 5.63
Final energy, eV/atom: -4.91

=====

What did the second record say?
## Li2CaPrTl4 (PBE)

Data for a relaxed structure of Li2CaPrTl4.

a = 5.2723 Å, b = 5.2723 Å, c = 25.9861 Å
α = 90.00°, β = 90.00°, γ = 120.00°
Last column: nearest neighbours and their distance in Å.
Space group R-3m (No. 166, hexagonal axes)
Asymmetric unit:
1 Li 0.0000 0.0000 0.2493 x6  8 Tl 3.19-3.32
2 Ca 0.0000 0.0000 0.5000 x3  8 Tl 3.20-3.22
3 Pr 0.0000 0.0000 0.0000 x3  8 Tl 3.25-3.29
4 Tl 0.0000 0.0000 0.1266 x6  4 Li 3.19-3.24, 3 Ca 3.22, 1 Pr 3.29
5 Tl 0.0000 0.0000 0.3770 x6  1 Ca 3.20, 4 Li 3.22-3.32, 3 Pr 3.25

E_form, meV per atom: -327
N(E_F), states/eV per cell: 12.36
Final energy, eV/atom: -2.84